! Tb2MgZn (PBE, relaxed); values from VASP
&SYSTEM
  ibrav = 0, nat = 4, ntyp = 3
/
ATOMIC_SPECIES
Tb 158.93 Tb.upf
Mg 24.30 Mg.upf
Zn 65.41 Zn.upf
ATOMIC_POSITIONS angstrom
Tb 0.000 0.000 1.738
Tb 0.000 0.000 6.039
Mg 1.803 1.803 3.888
Zn 1.803 1.803 0.000
CELL_PARAMETERS angstrom
3.606 0.000 0.000
0.000 3.606 0.000
0.000 0.000 7.776
! - total magnetic moment (μB/cell) = 0.000
! - space group = P4/mmm (123)
! - E_tot (eV for the cell shown) = -13.0